Record 1
## NaRh2Cl (PBE)

Data for a relaxed NaRh2Cl crystal.

Cell lengths 4.8856, 4.8856, 15.3052 Å; angles 90.00, 90.00, 90.00 degrees
With the nearest neighbours (Å) after each atom.
Space group I-42d (No. 122)
Unique sites:
Na  0.0000  0.0000  0.0000 (multiplicity 4)  4 Rh 3.08, 4 Cl 3.45
Rh  0.0724  0.7500  0.6250 (multiplicity 8)  2 Cl 2.30, 2 Rh 2.54
Cl  0.0000  0.0000  0.5000 (multiplicity 4)  4 Rh 2.30

**Energy relative to the elements, uncorrected**: 0.285 eV per atom
**ΔE to the lowest computed polymorph**: 0 meV per atom
**Volume**: 22.833 Å³ per atom
**Final energy**: -4.182 eV/atom

---

Record 2
## NaRhCl4 (PBE)

Data for a relaxed NaRhCl4 crystal.

Cell lengths 7.5515, 15.3855, 6.1519 Å; angles 90.00, 120.52, 90.00 degrees
With the nearest neighbours (Å) after each atom.
Space group C2/c (No. 15)
Unique sites:
Na  0.0000  0.1909  0.2500 (multiplicity 4)  6 Cl 2.78-3.00
Rh  0.0000  0.4432  0.2500 (multiplicity 4)  6 Cl 2.35-2.40
Cl  0.1998  0.4472  0.6958 (multiplicity 8)  2 Rh 2.37-2.40
Cl  0.2159  0.3357  0.2381 (multiplicity 8)  1 Rh 2.35

**Energy relative to the elements, uncorrected**: -0.986 eV per atom
**ΔE to the lowest computed polymorph**: 0 meV per atom
**Volume**: 25.656 Å³ per atom
**Final energy**: -3.662 eV/atom

---

Record 3
## Na3RhCl7 (PBE)

Data for a relaxed Na3RhCl7 crystal.

Cell lengths 9.3963, 9.4116, 6.7611 Å; angles 90.00, 111.61, 90.00 degrees
With the nearest neighbours (Å) after each atom.
Space group Cm (No. 8)
Unique sites:
Na  0.0000  0.0000  0.0000 (multiplicity 2)  3 Cl 2.72-3.03
Na  0.4916  0.2176  0.5407 (multiplicity 4)  5 Cl 2.68-2.89
Rh  0.4942  0.0000  0.0448 (multiplicity 2)  6 Cl 2.34-2.38
Cl  0.1452  0.3212  0.2649 (multiplicity 4)  1 Rh 2.35
Cl  0.1530  0.5000  0.8418 (multiplicity 2)  1 Rh 2.37
Cl  0.3338  0.0000  0.2468 (multiplicity 2)  1 Rh 2.38
Cl  0.3433  0.1779  0.8255 (multiplicity 4)  1 Rh 2.34
Cl  0.4910  0.5000  0.5939 (multiplicity 2)  3 Na 2.68-2.72

**Energy relative to the elements, uncorrected**: -1.140 eV per atom
**Volume**: 25.268 Å³ per atom
**Final energy**: -3.343 eV/atom

---

Record 4
## NaRh2Cl (PBE)

Data for a relaxed NaRh2Cl crystal.

Cell lengths 6.4099, 6.4099, 6.4099 Å; angles 90.00, 90.00, 90.00 degrees
With the nearest neighbours (Å) after each atom.
Space group Fm-3m (No. 225)
Unique sites:
Na  0.0000  0.0000  0.0000 (multiplicity 4)  8 Rh 2.78
Rh  0.2500  0.2500  0.2500 (multiplicity 8)  4 Cl 2.78, 4 Na 2.78
Cl  0.0000  0.0000  0.5000 (multiplicity 4)  8 Rh 2.78

**Energy relative to the elements, uncorrected**: 0.735 eV per atom
**ΔE to the lowest computed polymorph**: 450 meV per atom
**Volume**: 16.460 Å³ per atom
**Final energy**: -3.732 eV/atom